FeCoOs2: relaxed, PBE-GGA.

Cell: 3.9680 2.6171 4.9357 Å, 74.60 90.00 90.00°
Last column: nearest neighbours and their distance in Å.
Element x y z (fractional)
Os 0.0000 0.9562 0.9624  3 Co 2.52-2.59, 4 Fe 2.57, 2 Os 2.62
Os 0.5000 0.2930 0.2895  3 Fe 2.54-2.58, 4 Co 2.56, 6 Os 2.62-2.84
Co 0.0000 0.6915 0.4921  2 Fe 2.35, 7 Os 2.52-2.59, 2 Co 2.62
Fe 0.5000 0.5593 0.7560  2 Co 2.35, 7 Os 2.54-2.58, 2 Fe 2.62

E_form: 0.110 eV per atom
Crystal system: orthorhombic
E: -9.397 eV per atom